# PaFeO5 (PBE with a Hubbard U, relaxed)
# Total energy   -7.71 eV per atom
# Volume   13.60 A^3/atom
data_PaFeO5
_chemical_formula_sum 'Pa2 Fe2 O10'
_space_group_name_H-M_alt 'I m m m'
_space_group_IT_number 71
_space_group_name_Hall '-I 2 2'
_cell_length_a 3.801
_cell_length_b 6.355
_cell_length_c 7.879
_cell_angle_alpha 90.00
_cell_angle_beta 90.00
_cell_angle_gamma 90.00
loop_
_atom_site_label
_atom_site_type_symbol
_atom_site_fract_x
_atom_site_fract_y
_atom_site_fract_z
_atom_site_occupancy
Pa1 Pa 0.000 0.000 0.000 1
Fe1 Fe 0.000 0.000 0.500 1
O1 O 0.000 0.000 0.257 1
O2 O 0.000 0.304 0.500 1
O3 O 0.000 0.500 0.000 1